{
  "formula": "Tb5Sc12Au3",
  "functional": "PBE",
  "state": "optimized geometry",
  "formation_energy_ev_per_fu": 14.08,
  "magmom_total_mub_per_fu": 2.929,
  "energy_ev_per_atom": -4.744,
  "lattice": [[-8.572, 8.572, 8.572], [8.572, -8.572, 8.572], [8.572, 8.572, -8.572]],
  "species": ["Tb", "Tb", "Tb", "Tb", "Tb", "Tb", "Tb", "Tb", "Tb", "Tb", "Tb", "Tb", "Tb", "Tb", "Tb", "Tb", "Tb", "Tb", "Tb", "Tb", "Sc", "Sc", "Sc", "Sc", "Sc", "Sc", "Sc", "Sc", "Sc", "Sc", "Sc", "Sc", "Sc", "Sc", "Sc", "Sc", "Sc", "Sc", "Sc", "Sc", "Sc", "Sc", "Sc", "Sc", "Sc", "Sc", "Sc", "Sc", "Sc", "Sc", "Sc", "Sc", "Sc", "Sc", "Sc", "Sc", "Sc", "Sc", "Sc", "Sc", "Sc", "Sc", "Sc", "Sc", "Sc", "Sc", "Sc", "Sc", "Au", "Au", "Au", "Au", "Au", "Au", "Au", "Au", "Au", "Au", "Au", "Au"],
  "fractional_positions": [[0.000, 0.000, 0.000], [0.000, 0.000, 0.500], [0.000, 0.500, 0.000], [0.000, 0.500, 0.500], [0.125, 0.750, 0.875], [0.125, 0.875, 0.250], [0.250, 0.125, 0.875], [0.250, 0.625, 0.375], [0.375, 0.250, 0.625], [0.375, 0.625, 0.750], [0.500, 0.000, 0.000], [0.500, 0.000, 0.500], [0.500, 0.500, 0.000], [0.500, 0.500, 0.500], [0.625, 0.375, 0.250], [0.625, 0.750, 0.375], [0.750, 0.375, 0.625], [0.750, 0.875, 0.125], [0.875, 0.125, 0.750], [0.875, 0.250, 0.125], [0.052, 0.642, 0.403], [0.052, 0.910, 0.649], [0.090, 0.239, 0.142], [0.090, 0.351, 0.948], [0.097, 0.739, 0.649], [0.097, 0.858, 0.448], [0.142, 0.090, 0.239], [0.142, 0.552, 0.903], [0.149, 0.239, 0.597], [0.149, 0.410, 0.552], [0.239, 0.142, 0.090], [0.239, 0.597, 0.149], [0.261, 0.351, 0.903], [0.261, 0.410, 0.358], [0.351, 0.903, 0.261], [0.351, 0.948, 0.090], [0.358, 0.261, 0.410], [0.358, 0.597, 0.948], [0.403, 0.052, 0.642], [0.403, 0.851, 0.761], [0.410, 0.358, 0.261], [0.410, 0.552, 0.149], [0.448, 0.097, 0.858], [0.448, 0.851, 0.590], [0.552, 0.149, 0.410], [0.552, 0.903, 0.142], [0.590, 0.448, 0.851], [0.590, 0.642, 0.739], [0.597, 0.149, 0.239], [0.597, 0.948, 0.358], [0.642, 0.403, 0.052], [0.642, 0.739, 0.590], [0.649, 0.052, 0.910], [0.649, 0.097, 0.739], [0.739, 0.590, 0.642], [0.739, 0.649, 0.097], [0.761, 0.403, 0.851], [0.761, 0.858, 0.910], [0.851, 0.590, 0.448], [0.851, 0.761, 0.403], [0.858, 0.448, 0.097], [0.858, 0.910, 0.761], [0.903, 0.142, 0.552], [0.903, 0.261, 0.351], [0.910, 0.649, 0.052], [0.910, 0.761, 0.858], [0.948, 0.090, 0.351], [0.948, 0.358, 0.597], [0.125, 0.250, 0.375], [0.125, 0.375, 0.750], [0.250, 0.375, 0.125], [0.250, 0.875, 0.625], [0.375, 0.125, 0.250], [0.375, 0.750, 0.125], [0.625, 0.250, 0.875], [0.625, 0.875, 0.750], [0.750, 0.125, 0.375], [0.750, 0.625, 0.875], [0.875, 0.625, 0.250], [0.875, 0.750, 0.625]]
}